(1)
Y5Tm4 GGA-PBE relaxed; E_tot = -0.20393 Ha/atom; total magnetization = 0.0 Bohr magnetons per cell; distance to the lowest polymorph of the same formula = 0 meV/atom; formation energy from the elements = 0.029 eV per atom
1.0
-5.3075 5.3075 2.4942
5.3075 -5.3075 2.4942
5.3075 5.3075 -2.4942
Y Tm
5 4
direct
0.0000 0.0000 0.0000
0.0000 0.3320 0.3320
0.0000 0.6680 0.6680
0.3320 0.0000 0.3320
0.6680 0.0000 0.6680
0.3333 0.3333 0.6666
0.3333 0.6667 0.0000
0.6667 0.3333 0.0000
0.6667 0.6667 0.3334



(2)
Y3Br2 GGA-PBE relaxed; E_tot = -0.18108 Ha/atom; total magnetization = 0.0 Bohr magnetons per cell; distance to the lowest polymorph of the same formula = 251 meV/atom; formation energy (no corrections) = -0.380 eV/atom
1.0
5.1044 0.0000 0.0000
-2.5522 4.4205 0.0000
0.0000 0.0000 5.9595
Y Br
3 2
direct
0.0000 0.0000 0.0000
0.3333 0.6667 0.3369
0.6667 0.3333 0.6631
0.3333 0.6667 0.8352
0.6667 0.3333 0.1648